The following is a GGA-PBE calculation of a geometry-optimized Cd6Au7 structure, from the Alexandria database.

## Properties
The density of states at the Fermi level is 0.451 states/eV per atom. The total energy comes out at -2.29 eV per atom. For the formation energy, the calculation gives -0.108 eV/atom. For the spin magnetization, the calculation gives 0.00 μB per atom.

Cell: 5.7167 5.7167 28.2244 Å, 90.00 90.00 120.00°
Space group R-3m (No. 166, hexagonal axes)
One atom of each set of equivalent atoms:
Cd  0.0000  0.0000  0.0522 x6
Cd  0.0000  0.0000  0.1582 x6
Cd  0.0000  0.0000  0.3332 x6
Au  0.0000  0.0000  0.5000 x3
Au  0.0026  0.5013  0.9145 x18